Entry 1:
Computed, not measured: an optimized crystal structure of Sm3Mg3Ga2Au at the GGA-PBE level of DFT.

Values from the calculation:
Magnetic moment   0.012 μB/cell
E_tot   -33.33 eV/cell
Space group   No. 189

```
data_Sm3Mg3Ga2Au
_chemical_formula_sum 'Sm3 Mg3 Ga2 Au1'
_space_group_name_H-M_alt 'P 1'
_space_group_IT_number 1
_cell_length_a 7.472
_cell_length_b 7.472
_cell_length_c 4.415
_cell_angle_alpha 90.00
_cell_angle_beta 90.00
_cell_angle_gamma 120.00
loop_
_space_group_symop_operation_xyz
'x,y,z'
loop_
_atom_site_label
_atom_site_type_symbol
_atom_site_fract_x
_atom_site_fract_y
_atom_site_fract_z
_atom_site_occupancy
Sm1 Sm 0.000 0.583 0.000 1
Sm2 Sm 0.417 0.417 0.000 1
Sm3 Sm 0.583 0.000 0.000 1
Mg1 Mg 0.000 0.243 0.500 1
Mg2 Mg 0.243 0.000 0.500 1
Mg3 Mg 0.757 0.757 0.500 1
Ga1 Ga 0.333 0.667 0.500 1
Ga2 Ga 0.667 0.333 0.500 1
Au1 Au 0.000 0.000 0.000 1
```

Entry 2:
Computed, not measured: an optimized crystal structure of ReSbPO at the GGA-PBE level of DFT.

Values from the calculation:
Magnetic moment   0.002 μB/cell
E_tot   -52.35 eV/cell
Energy above the lowest structure with this stoichiometry   519 meV per atom
Space group   No. 129

```
data_ReSbPO
_chemical_formula_sum 'Re2 Sb2 P2 O2'
_space_group_name_H-M_alt 'P 1'
_space_group_IT_number 1
_cell_length_a 4.149
_cell_length_b 4.149
_cell_length_c 9.530
_cell_angle_alpha 90.00
_cell_angle_beta 90.00
_cell_angle_gamma 90.00
loop_
_space_group_symop_operation_xyz
'x,y,z'
loop_
_atom_site_label
_atom_site_type_symbol
_atom_site_fract_x
_atom_site_fract_y
_atom_site_fract_z
_atom_site_occupancy
Re1 Re 0.250 0.250 0.048 1
Re2 Re 0.750 0.750 0.952 1
Sb1 Sb 0.250 0.750 0.500 1
Sb2 Sb 0.750 0.250 0.500 1
P1 P 0.250 0.250 0.271 1
P2 P 0.750 0.750 0.729 1
O1 O 0.250 0.750 0.000 1
O2 O 0.750 0.250 0.000 1
```

Entry 3:
Computed, not measured: an optimized crystal structure of Pm2PrAg3 at the GGA-PBE level of DFT.

Values from the calculation:
Magnetic moment   0.105 μB/cell
E_tot   -24.39 eV/cell
Space group   No. 123

```
data_Pm2PrAg3
_chemical_formula_sum 'Pm2 Pr1 Ag3'
_space_group_name_H-M_alt 'P 1'
_space_group_IT_number 1
_cell_length_a 3.722
_cell_length_b 3.722
_cell_length_c 11.279
_cell_angle_alpha 90.00
_cell_angle_beta 90.00
_cell_angle_gamma 90.00
loop_
_space_group_symop_operation_xyz
'x,y,z'
loop_
_atom_site_label
_atom_site_type_symbol
_atom_site_fract_x
_atom_site_fract_y
_atom_site_fract_z
_atom_site_occupancy
Pm1 Pm 0.000 0.000 0.165 1
Pm2 Pm 0.000 0.000 0.835 1
Pr1 Pr 0.000 0.000 0.500 1
Ag1 Ag 0.500 0.500 0.000 1
Ag2 Ag 0.500 0.500 0.327 1
Ag3 Ag 0.500 0.500 0.673 1
```

Entry 4:
Computed, not measured: an optimized crystal structure of SrTbPd at the GGA-PBE level of DFT.

Values from the calculation:
Magnetic moment   0.008 μB/cell
E_tot   -12.47 eV/cell
Space group   No. 216

```
data_SrTbPd
_chemical_formula_sum 'Sr1 Tb1 Pd1'
_space_group_name_H-M_alt 'P 1'
_space_group_IT_number 1
_cell_length_a 5.054
_cell_length_b 5.054
_cell_length_c 5.054
_cell_angle_alpha 60.00
_cell_angle_beta 60.00
_cell_angle_gamma 60.00
loop_
_space_group_symop_operation_xyz
'x,y,z'
loop_
_atom_site_label
_atom_site_type_symbol
_atom_site_fract_x
_atom_site_fract_y
_atom_site_fract_z
_atom_site_occupancy
Sr1 Sr 0.000 0.000 0.000 1
Tb1 Tb 0.500 0.500 0.500 1
Pd1 Pd 0.250 0.250 0.250 1
```